Here is a relaxed structure of CaTmS2 from Alexandria. Energies are from PBE-GGA.

The density of states at the Fermi level is 1.5 states/eV/f.u. The formation energy without anion corrections is -2.0301 eV/atom. The crystal system is monoclinic.

```
data_CaTmS2
_chemical_formula_sum 'Ca2 Tm2 S4'
_cell_length_a 6.7549
_cell_length_b 3.9003
_cell_length_c 6.8709
_cell_angle_alpha 90.00
_cell_angle_beta 109.01
_cell_angle_gamma 90.00
_symmetry_space_group_name_H-M 'C 1 2/m 1'
_symmetry_Int_Tables_number 12
_symmetry_space_group_name_Hall '-C 2y'
loop_
_atom_site_label
_atom_site_type_symbol
_atom_site_fract_x
_atom_site_fract_y
_atom_site_fract_z
Ca1 Ca 0.0000 0.0000 0.0000
Tm1 Tm 0.0000 0.5000 0.5000
S1 S 0.2467 0.0000 0.7400
```